Record 1
The following is a GGA-PBEsol calculation of a relaxed structure of Sc3AgRu, from Alexandria.

Calculated values
Energy of formation from the pure elements = 0.89 eV per atom

Cell: 4.920 4.920 4.920 Å, 90.00 90.00 90.00°
Fractional positions:
Sc  0.000  0.000  0.500
Sc  0.000  0.500  0.000
Sc  0.500  0.000  0.000
Ag  0.000  0.000  0.000
Ru  0.500  0.500  0.500


Record 2
The following is a GGA-PBEsol calculation of a relaxed structure of HoLuTl2, from Alexandria.

Calculated values
Energy of formation from the pure elements = -0.37 eV per atom

Cell: 7.367 7.367 7.367 Å, 90.00 90.00 90.00°
Fractional positions:
Ho  0.000  0.000  0.000
Ho  0.000  0.500  0.500
Ho  0.500  0.000  0.500
Ho  0.500  0.500  0.000
Lu  0.000  0.000  0.500
Lu  0.000  0.500  0.000
Lu  0.500  0.000  0.000
Lu  0.500  0.500  0.500
Tl  0.250  0.250  0.250
Tl  0.250  0.250  0.750
Tl  0.250  0.750  0.250
Tl  0.250  0.750  0.750
Tl  0.750  0.250  0.250
Tl  0.750  0.250  0.750
Tl  0.750  0.750  0.250
Tl  0.750  0.750  0.750


Record 3
The following is a GGA-PBEsol calculation of a relaxed structure of Ta4IrPb, from Alexandria.

Calculated values
Energy of formation from the pure elements = 0.45 eV per atom

Cell: 5.389 5.389 5.389 Å, 60.00 60.00 60.00°
Fractional positions:
Ta  0.376  0.376  0.376
Ta  0.376  0.376  0.873
Ta  0.376  0.873  0.376
Ta  0.873  0.376  0.376
Ir  0.000  0.000  0.000
Pb  0.750  0.750  0.750


Record 4
The following is a GGA-PBEsol calculation of a relaxed structure of TePOsO2, from Alexandria.

Calculated values
ΔE_f (raw) = -0.343 eV/atom

Cell: 3.762 3.762 5.419 Å, 90.00 90.00 90.00°
Fractional positions:
Te  0.000  0.000  0.000
P  0.500  0.500  0.000
Os  0.500  0.500  0.500
O  0.000  0.500  0.500
O  0.500  0.000  0.500


Record 5
The following is a GGA-PBEsol calculation of a relaxed structure of Li2TeMo, from Alexandria.

Calculated values
ΔE_f (raw) = 0.390 eV/atom

Cell: 3.418 5.002 9.262 Å, 90.00 90.00 90.00°
Fractional positions:
Li  0.000  0.000  0.000
Li  0.000  0.500  0.275
Li  0.500  0.000  0.275
Li  0.500  0.500  0.000
Te  0.000  0.500  0.737
Te  0.500  0.000  0.737
Mo  0.000  0.000  0.515
Mo  0.500  0.500  0.515


Record 6
The following is a GGA-PBEsol calculation of a relaxed structure of BiSbCl2, from Alexandria.

Calculated values
ΔE_f (raw) = -0.386 eV/atom

Cell: 3.407 3.407 30.143 Å, 90.00 90.00 120.00°
Fractional positions:
Bi  0.000  0.000  0.000
Bi  0.333  0.667  0.667
Bi  0.667  0.333  0.333
Sb  0.000  0.000  0.500
Sb  0.333  0.667  0.167
Sb  0.667  0.333  0.833
Cl  0.000  0.000  0.413
Cl  0.000  0.000  0.587
Cl  0.333  0.667  0.079
Cl  0.333  0.667  0.254
Cl  0.667  0.333  0.746
Cl  0.667  0.333  0.921


Record 7
The following is a GGA-PBEsol calculation of a relaxed structure of TcRuPt, from Alexandria.

Calculated values
Energy of formation from the pure elements = -0.09 eV per atom
Polymorph energy (0 for the lowest one) = 17.3 meV/atom

Cell: 2.689 3.817 8.182 Å, 90.00 90.00 90.00°
Fractional positions:
Tc  0.000  0.000  0.000
Tc  0.500  0.500  0.500
Ru  0.000  0.000  0.348
Ru  0.500  0.500  0.848
Pt  0.000  0.000  0.674
Pt  0.500  0.500  0.174


Record 8
The following is a GGA-PBEsol calculation of a relaxed structure of BaSr4Cl, from Alexandria.

Calculated values
ΔE_f (raw) = -0.003 eV/atom

Cell: 7.801 7.801 7.801 Å, 60.00 60.00 60.00°
Fractional positions:
Ba  0.000  0.000  0.000
Sr  0.122  0.626  0.626
Sr  0.626  0.122  0.626
Sr  0.626  0.626  0.122
Sr  0.626  0.626  0.626
Cl  0.250  0.250  0.250


Record 9
The following is a GGA-PBEsol calculation of a relaxed structure of Ho5B2O6F9, from Alexandria.

Calculated values
ΔE_f (raw) = -3.729 eV/atom

Cell: 10.511 10.511 8.180 Å, 99.83 99.83 33.20°
Fractional positions:
Ho  0.072  0.316  0.319
Ho  0.109  0.891  0.750
Ho  0.278  0.502  0.096
Ho  0.316  0.072  0.819
Ho  0.498  0.722  0.404
Ho  0.502  0.278  0.596
Ho  0.684  0.928  0.181
Ho  0.722  0.498  0.904
Ho  0.891  0.109  0.250
Ho  0.928  0.684  0.681
B  0.017  0.205  0.561
B  0.205  0.017  0.061
B  0.795  0.983  0.939
B  0.983  0.795  0.439
O  0.009  0.806  0.284
O  0.098  0.222  0.038
O  0.150  0.668  0.566
O  0.194  0.991  0.216
O  0.222  0.098  0.538
O  0.332  0.850  0.934
O  0.668  0.150  0.066
O  0.778  0.902  0.462
O  0.806  0.009  0.784
O  0.850  0.332  0.434
O  0.902  0.778  0.962
O  0.991  0.194  0.716
F  0.001  0.447  0.786
F  0.147  0.790  0.016
F  0.210  0.853  0.484
F  0.215  0.363  0.519
F  0.294  0.443  0.816
F  0.363  0.215  0.019
F  0.443  0.294  0.316
F  0.447  0.001  0.286
F  0.487  0.513  0.750
F  0.513  0.487  0.250
F  0.553  0.999  0.714
F  0.557  0.706  0.684
F  0.637  0.785  0.981
F  0.706  0.557  0.184
F  0.785  0.637  0.481
F  0.790  0.147  0.516
F  0.853  0.210  0.984
F  0.999  0.553  0.214


Record 10
The following is a GGA-PBEsol calculation of a relaxed structure of SrCaTe2, from Alexandria.

Calculated values
ΔE_f (raw) = -1.330 eV/atom
Polymorph energy (0 for the lowest one) = 359.0 meV/atom

Cell: 4.481 4.481 13.124 Å, 90.00 90.00 90.00°
Fractional positions:
Sr  0.000  0.000  0.000
Sr  0.500  0.500  0.500
Ca  0.000  0.500  0.750
Ca  0.500  0.000  0.250
Te  0.000  0.000  0.500
Te  0.000  0.500  0.250
Te  0.500  0.000  0.750
Te  0.500  0.500  0.000


Record 11
The following is a GGA-PBEsol calculation of a relaxed structure of Sn2Sb2Br, from Alexandria.

Calculated values
ΔE_f (raw) = -0.061 eV/atom

Cell: 4.747 4.747 13.534 Å, 90.00 90.00 90.00°
Fractional positions:
Sn  0.000  0.500  0.250
Sn  0.000  0.500  0.750
Sn  0.500  0.000  0.250
Sn  0.500  0.000  0.750
Sb  0.000  0.000  0.118
Sb  0.000  0.000  0.882
Sb  0.500  0.500  0.382
Sb  0.500  0.500  0.618
Br  0.000  0.000  0.500
Br  0.500  0.500  0.000


Record 12
The following is a GGA-PBEsol calculation of a relaxed structure of Sr2AlCr, from Alexandria.

Calculated values
Energy of formation from the pure elements = 0.71 eV per atom

Cell: 3.827 3.827 30.542 Å, 90.00 90.00 120.00°
Fractional positions:
Sr  0.000  0.000  0.248
Sr  0.000  0.000  0.752
Sr  0.333  0.667  0.418
Sr  0.333  0.667  0.915
Sr  0.667  0.333  0.085
Sr  0.667  0.333  0.582
Al  0.000  0.000  0.500
Al  0.333  0.667  0.167
Al  0.667  0.333  0.833
Cr  0.000  0.000  0.000
Cr  0.333  0.667  0.667
Cr  0.667  0.333  0.333


Record 13
The following is a GGA-PBEsol calculation of a relaxed structure of Li2Cd3, from Alexandria.

Calculated values
Energy of formation from the pure elements = -0.14 eV per atom
Polymorph energy (0 for the lowest one) = 63.2 meV/atom

Cell: 3.000 3.000 36.430 Å, 90.00 90.00 120.00°
Fractional positions:
Li  0.000  0.000  0.101
Li  0.000  0.000  0.899
Li  0.333  0.667  0.565
Li  0.333  0.667  0.768
Li  0.667  0.333  0.232
Li  0.667  0.333  0.435
Cd  0.000  0.000  0.297
Cd  0.000  0.000  0.500
Cd  0.000  0.000  0.703
Cd  0.333  0.667  0.167
Cd  0.333  0.667  0.370
Cd  0.333  0.667  0.964
Cd  0.667  0.333  0.036
Cd  0.667  0.333  0.630
Cd  0.667  0.333  0.833


Record 14
The following is a GGA-PBEsol calculation of a relaxed structure of ZrIrBr2, from Alexandria.

Calculated values
ΔE_f (raw) = -0.434 eV/atom
Polymorph energy (0 for the lowest one) = 0.0 meV/atom

Cell: 3.215 3.215 8.515 Å, 90.00 90.00 90.00°
Fractional positions:
Zr  0.000  0.000  0.000
Ir  0.500  0.500  0.827
Br  0.000  0.000  0.600
Br  0.500  0.500  0.226


Record 15
The following is a GGA-PBEsol calculation of a relaxed structure of CaReSb2, from Alexandria.

Calculated values
ΔE_f (raw) = 0.218 eV/atom
Polymorph energy (0 for the lowest one) = 0.0 meV/atom

Cell: 3.312 3.312 8.489 Å, 90.00 90.00 90.00°
Fractional positions:
Ca  0.000  0.000  0.000
Re  0.500  0.500  0.243
Sb  0.000  0.000  0.398
Sb  0.500  0.500  0.713


Record 16
The following is a GGA-PBEsol calculation of a relaxed structure of Y2MgAgTe, from Alexandria.

Calculated values
ΔE_f (raw) = -0.182 eV/atom

Cell: 5.444 5.444 4.929 Å, 90.00 90.00 90.00°
Fractional positions:
Y  0.000  0.500  0.000
Y  0.500  0.000  0.000
Mg  0.000  0.000  0.500
Ag  0.000  0.000  0.000
Te  0.500  0.500  0.500


Record 17
The following is a GGA-PBEsol calculation of a relaxed structure of RbBaTe3, from Alexandria.

Calculated values
ΔE_f (raw) = -0.067 eV/atom

Cell: 6.014 6.014 6.014 Å, 90.00 90.00 90.00°
Fractional positions:
Rb  0.000  0.000  0.000
Ba  0.500  0.500  0.500
Te  0.000  0.000  0.500
Te  0.000  0.500  0.000
Te  0.500  0.000  0.000


Record 18
The following is a GGA-PBEsol calculation of a relaxed structure of Y3MnRh, from Alexandria.

Calculated values
Energy of formation from the pure elements = 0.38 eV per atom

Cell: 4.888 4.888 4.888 Å, 90.00 90.00 90.00°
Fractional positions:
Y  0.000  0.000  0.500
Y  0.000  0.500  0.000
Y  0.500  0.000  0.000
Mn  0.000  0.000  0.000
Rh  0.500  0.500  0.500


Record 19
The following is a GGA-PBEsol calculation of a relaxed structure of Ba2CdCu, from Alexandria.

Calculated values
Energy of formation from the pure elements = -0.06 eV per atom

Cell: 3.948 3.948 8.267 Å, 90.00 90.00 90.00°
Fractional positions:
Ba  0.000  0.000  0.229
Ba  0.000  0.000  0.771
Cd  0.500  0.500  0.500
Cu  0.500  0.500  0.000


Record 20
The following is a GGA-PBEsol calculation of a relaxed structure of Tl2InP, from Alexandria.

Calculated values
Energy of formation from the pure elements = 0.27 eV per atom
Polymorph energy (0 for the lowest one) = 136.5 meV/atom

Cell: 6.201 10.195 3.078 Å, 90.00 90.20 90.00°
Fractional positions:
Tl  0.250  0.250  0.000
Tl  0.250  0.750  0.000
Tl  0.750  0.250  0.000
Tl  0.750  0.750  0.000
In  0.000  0.000  0.500
In  0.500  0.500  0.500
P  0.000  0.500  0.500
P  0.500  0.000  0.500


Calculated values (μB per cell) of total moment for the records, taken in order: 0.00, 0.00, 0.00, 0.00, 0.00, 0.00, 0.00, 0.00, 0.00, 0.00, 0.00, 14.28, 0.00, 0.00, 0.00, 0.00, 0.00, 0.36, 0.00, 0.00.